# 1
The following is a DFT calculation (PBE-GGA) of an optimized crystal structure of CuSiBr2.

Values from the calculation:
Formation energy (no corrections), meV per atom: 731
ΔE to the lowest computed polymorph, eV/atom: 0.829

```
data_CuSiBr2
_chemical_formula_sum 'Cu4 Si4 Br8'
_cell_length_a 6.9996
_cell_length_b 6.9996
_cell_length_c 6.9996
_cell_angle_alpha 90.00
_cell_angle_beta 90.00
_cell_angle_gamma 90.00
_space_group_name_H-M_alt 'F -4 3 m'
_space_group_IT_number 216
_space_group_name_Hall 'F -4 2 3'
loop_
_atom_site_label
_atom_site_type_symbol
_atom_site_fract_x
_atom_site_fract_y
_atom_site_fract_z
Cu1 Cu 0.0000 0.0000 0.0000
Si1 Si 0.2500 0.2500 0.7500
Br1 Br 0.0000 0.0000 0.5000
Br2 Br 0.2500 0.2500 0.2500
```

# 2
The following is a DFT calculation (PBE-GGA) of an optimized crystal structure of Pm4GeTe3.

Values from the calculation:
Formation energy (no corrections), meV per atom: -1357

```
data_Pm4GeTe3
_chemical_formula_sum 'Pm8 Ge2 Te6'
_cell_length_a 8.9360
_cell_length_b 12.5450
_cell_length_c 4.3956
_cell_angle_alpha 90.00
_cell_angle_beta 90.00
_cell_angle_gamma 90.00
_space_group_name_H-M_alt 'C m m m'
_space_group_IT_number 65
_space_group_name_Hall '-C 2 2'
loop_
_atom_site_label
_atom_site_type_symbol
_atom_site_fract_x
_atom_site_fract_y
_atom_site_fract_z
Pm1 Pm 0.0000 0.2353 0.0000
Pm2 Pm 0.2269 0.0000 0.5000
Ge1 Ge 0.0000 0.0000 0.0000
Te1 Te 0.0000 0.5000 0.0000
Te2 Te 0.2500 0.2500 0.5000
```

# 3
The following is a DFT calculation (PBE-GGA) of an optimized crystal structure of Mg2CdAg2Hg2.

```
data_Mg2CdAg2Hg2
_chemical_formula_sum 'Mg6 Cd3 Ag6 Hg6'
_cell_length_a 4.8329
_cell_length_b 4.8329
_cell_length_c 21.3715
_cell_angle_alpha 90.00
_cell_angle_beta 90.00
_cell_angle_gamma 120.00
_space_group_name_H-M_alt 'R -3 m'
_space_group_IT_number 166
_space_group_name_Hall '-R 3 2"'
loop_
_atom_site_label
_atom_site_type_symbol
_atom_site_fract_x
_atom_site_fract_y
_atom_site_fract_z
Mg1 Mg 0.0000 0.0000 0.1357
Cd1 Cd 0.0000 0.0000 0.0000
Ag1 Ag 0.0000 0.0000 0.2722
Hg1 Hg 0.0000 0.0000 0.4236
```

We obtain total DFT energy (no corrections) values of -9.94, -43.90, -10.80 eV per formula unit for the records listed above, in that order.
We obtain N(E_F) values of 4.00, 3.62, 1.47 states/eV/f.u. for the records listed above, in that order.